{
  "formula": "Tc2NiHgO8",
  "functional": "PBE with a Hubbard U",
  "state": "optimized geometry",
  "rho_g_cm3": 5.16,
  "space_group": "I-4m2 (119)",
  "energy_ry_per_atom": -0.4558,
  "cell": [[-3.605, 3.605, 3.609], [3.605, -3.605, 3.609], [3.605, 3.605, -3.609]],
  "species": ["Tc", "Tc", "Ni", "Hg", "O", "O", "O", "O", "O", "O", "O", "O"],
  "frac_coords": [[0.000, 0.000, 0.000], [0.750, 0.250, 0.500], [0.250, 0.750, 0.500], [0.500, 0.500, 0.000], [0.056, 0.857, 0.199], [0.089, 0.395, 0.693], [0.143, 0.342, 0.199], [0.143, 0.944, 0.801], [0.605, 0.298, 0.693], [0.605, 0.911, 0.307], [0.658, 0.857, 0.801], [0.702, 0.395, 0.307]]
}